Density functional theory data (PBE) for a relaxed structure of Pm3DyHo4.

Geometry as CIF:
```
data_Pm3DyHo4
_space_group_name_H-M_alt 'P m m n'
_space_group_IT_number 59
_cell_length_a 5.0564
_cell_length_b 10.1068
_cell_length_c 10.1004
_cell_angle_alpha 90.00
_cell_angle_beta 90.00
_cell_angle_gamma 90.00
loop_
_space_group_symop_operation_xyz
'x,y,z'
'-x,-y,-z'
'-x+1/2,-y+1/2,z'
'x+1/2,y+1/2,-z'
'x+1/2,-y,-z'
'-x+1/2,y,z'
'-x,y+1/2,-z'
'x,-y+1/2,z'
loop_
_atom_site_label
_atom_site_type_symbol
_atom_site_fract_x
_atom_site_fract_y
_atom_site_fract_z
Pm1 Pm 0.2500 0.0005 0.1276
Pm2 Pm 0.2500 0.2500 0.8728
Dy1 Dy 0.2500 0.7500 0.8713
Ho1 Ho 0.2500 0.2500 0.3775
Ho2 Ho 0.2500 0.5007 0.6218
Ho3 Ho 0.2500 0.7500 0.3790
```

Computed properties:
Density: 8.089 g cm⁻³
E_form: 23 meV per atom
Relative energy among the computed polymorphs: 0.0 meV/atom
Calculated total energy: -4.6222 eV per atom
DOS at the Fermi energy: 25.647 states/eV/cell
Total magnetic moment: 0.000 Bohr magnetons per cell